P) ! Rb2Bi2W PBE relaxed; values from VASP
! * density: 7.21 g cm⁻³
&SYSTEM
  ibrav = 0, nat = 10, ntyp = 3
/
ATOMIC_SPECIES
Rb 85.47 Rb.upf
W 183.84 W.upf
Bi 208.98 Bi.upf
ATOMIC_POSITIONS angstrom
Rb 2.0738 -6.8490 1.9808
Rb 5.4499 -2.6327 0.5265
W 2.3202 -4.5448 -1.5246
Rb 1.9397 -2.9112 2.3282
Bi 4.8216 -4.0297 -2.7862
Rb 5.5840 -6.5706 0.1791
W 0.0000 0.0000 0.0000
Bi 2.6977 -7.3407 -1.9178
Bi 1.9427 -1.7490 -1.1315
Bi -0.1811 -5.0600 -0.2631
CELL_PARAMETERS angstrom
-1.8013 -7.3011 0.4195
6.4417 -1.7886 -3.4687
2.8832 -0.3921 5.5566

---

Q) ! Rb2Bi2W PBE relaxed; values from VASP
! * density: 8.69 g cm⁻³
&SYSTEM
  ibrav = 0, nat = 5, ntyp = 3
/
ATOMIC_SPECIES
Rb 85.47 Rb.upf
Bi 208.98 Bi.upf
W 183.84 W.upf
ATOMIC_POSITIONS angstrom
Rb 4.0776 2.0388 4.4425
Rb 2.0388 4.0776 4.4425
Bi 4.0776 4.0776 7.3790
W 0.0000 0.0000 0.0000
Bi 2.0388 2.0388 1.5060
CELL_PARAMETERS angstrom
4.0776 0.0000 0.0000
0.0000 4.0776 0.0000
2.0388 2.0388 8.8851

---

Q: Which of them is the most stable? A: P).

---

P) ! RbBiW3 PBE relaxed; values from VASP
! * density: 12.37 g cm⁻³
&SYSTEM
  ibrav = 0, nat = 5, ntyp = 3
/
ATOMIC_SPECIES
Rb 85.47 Rb.upf
W 183.84 W.upf
Bi 208.98 Bi.upf
ATOMIC_POSITIONS angstrom
Rb 0.0000 0.0000 0.0000
W -1.0885 -1.0919 1.8667
W 2.0881 0.0132 1.2253
W 0.5628 -2.1608 -0.9358
Bi 1.5624 -3.2396 2.1561
CELL_PARAMETERS angstrom
-2.1769 -2.1839 3.7334
1.1256 -4.3216 -1.8717
4.1762 0.0263 2.4506

---

Q) ! RbBiW3 PBE relaxed; values from VASP
! * density: 9.91 g cm⁻³
&SYSTEM
  ibrav = 0, nat = 5, ntyp = 3
/
ATOMIC_SPECIES
Bi 208.98 Bi.upf
W 183.84 W.upf
Rb 85.47 Rb.upf
ATOMIC_POSITIONS angstrom
Bi 0.0000 0.0000 0.0000
W -1.4467 -0.4545 2.1209
W 0.7546 -2.4955 -0.0200
W 2.0335 0.6028 1.5163
Rb 1.3414 -2.3473 3.6171
CELL_PARAMETERS angstrom
-2.8934 -0.9090 4.2417
1.5093 -4.9910 -0.0400
4.0670 1.2055 3.0326

---

Q: Which of them is the most stable? A: Q).

---

P) ! RbYBi2 PBE relaxed; values from VASP
! * density: 7.25 g cm⁻³
&SYSTEM
  ibrav = 0, nat = 4, ntyp = 3
/
ATOMIC_SPECIES
Y 88.91 Y.upf
Bi 208.98 Bi.upf
Rb 85.47 Rb.upf
ATOMIC_POSITIONS angstrom
Y -6.4273 -2.5780 -1.3981
Bi -9.6409 -3.8670 -2.0972
Bi -3.2136 -1.2890 -0.6991
Rb 0.0000 0.0000 0.0000
CELL_PARAMETERS angstrom
-3.8572 -4.0523 1.4051
-5.6372 1.2163 -0.1269
-3.3601 -2.3200 -4.0745

---

Q) ! RbYBi2 PBE relaxed; values from VASP
! * density: 6.10 g cm⁻³
&SYSTEM
  ibrav = 0, nat = 4, ntyp = 3
/
ATOMIC_SPECIES
Y 88.91 Y.upf
Rb 85.47 Rb.upf
Bi 208.98 Bi.upf
ATOMIC_POSITIONS angstrom
Y 6.7745 3.9113 9.1041
Rb 4.5163 2.6075 4.6019
Bi 2.2582 1.3038 1.7843
Bi 2.2582 1.3038 7.3310
CELL_PARAMETERS angstrom
4.5163 0.0000 0.0000
2.2582 3.9113 0.0000
2.2582 1.3038 9.1285

---

Q: Which of them is the most stable? A: Q).

---

P) ! RbYBi2 PBE relaxed; values from VASP
! * density: 4.60 g cm⁻³
&SYSTEM
  ibrav = 0, nat = 8, ntyp = 3
/
ATOMIC_SPECIES
Y 88.91 Y.upf
Bi 208.98 Bi.upf
Rb 85.47 Rb.upf
ATOMIC_POSITIONS angstrom
Y 0.0000 0.0000 0.0000
Y -8.3980 -0.5902 2.7624
Bi -8.1827 1.5319 4.8663
Rb -3.1553 -3.0506 1.5926
Bi -10.9774 0.9235 2.9387
Bi -7.7894 -3.5234 2.8060
Bi -6.6423 -1.2928 0.4387
Rb -5.7965 -1.2901 6.5758
CELL_PARAMETERS angstrom
-5.7568 -2.3507 -2.2207
-0.5539 -3.7505 5.4060
-7.8838 4.2209 6.1529

---

Q) ! RbYBi2 PBE relaxed; values from VASP
! * density: 5.91 g cm⁻³
&SYSTEM
  ibrav = 0, nat = 4, ntyp = 3
/
ATOMIC_SPECIES
Rb 85.47 Rb.upf
Y 88.91 Y.upf
Bi 208.98 Bi.upf
ATOMIC_POSITIONS angstrom
Rb 4.8753 2.8147 4.0460
Y 0.0000 0.0000 0.0000
Bi 2.4376 1.4074 1.4374
Bi 7.3129 4.2221 6.6546
CELL_PARAMETERS angstrom
4.8753 0.0000 0.0000
2.4376 4.2221 0.0000
2.4376 1.4074 8.0921

---

R) ! RbYBi2 PBE relaxed; values from VASP
! * density: 7.15 g cm⁻³
&SYSTEM
  ibrav = 0, nat = 4, ntyp = 3
/
ATOMIC_SPECIES
Y 88.91 Y.upf
Bi 208.98 Bi.upf
Rb 85.47 Rb.upf
ATOMIC_POSITIONS angstrom
Y 1.8648 1.8648 0.0000
Bi 0.0000 0.0000 2.1171
Bi 0.0000 0.0000 7.7726
Rb 1.8648 1.8648 4.9448
CELL_PARAMETERS angstrom
3.7295 0.0000 0.0000
0.0000 3.7295 0.0000
0.0000 0.0000 9.8897

---

Q: Which of them is the most stable? A: R).